## Ti3NbFe2 (PBE-GGA)

Data for a relaxed structure of Ti3NbFe2.

DOS(E_F)   0.708 states/eV/atom
Spin magnetization   0.0 μB/cell
ΔE_f   -0.250 eV per atom
Calculated volume   86.9 Å³ per cell

a b c (Å): 2.9689 2.9689 9.8564
angles (deg): 90.00 90.00 90.00
Space group P4/mmm (No. 123)
Asymmetric unit:
Ti 0.0000 0.0000 0.0000 [1 per cell]
Ti 0.0000 0.0000 0.2979 [2 per cell]
Nb 0.5000 0.5000 0.5000 [1 per cell]
Fe 0.5000 0.5000 0.1507 [2 per cell]

## Ti3Nb2Fe (PBE-GGA)

Data for a relaxed structure of Ti3Nb2Fe.

DOS(E_F)   1.177 states/eV/atom
Spin magnetization   0.0 μB/cell
ΔE_f   0.003 eV per atom
Calculated volume   198.4 Å³ per cell

a b c (Å): 4.8169 5.3759 7.8305
angles (deg): 90.00 101.90 90.00
Space group P2_1/m (No. 11)
Asymmetric unit:
Ti 0.1286 0.2500 0.0627 [2 per cell]
Ti 0.3237 0.5069 0.7559 [4 per cell]
Nb 0.2103 0.7500 0.3438 [2 per cell]
Nb 0.2175 0.2500 0.4326 [2 per cell]
Fe 0.3794 0.7500 0.0187 [2 per cell]